Density functional theory data (PBE) for a relaxed Y2ScMn2 crystal.

Structure (CIF):
```
data_Y2ScMn2
_symmetry_space_group_name_H-M 'I 4/m m m'
_symmetry_Int_Tables_number 139
_symmetry_space_group_name_Hall '-I 4 2'
_cell_length_a 3.2466
_cell_length_b 3.2466
_cell_length_c 20.7800
_cell_angle_alpha 90.00
_cell_angle_beta 90.00
_cell_angle_gamma 90.00
loop_
_atom_site_label
_atom_site_fract_x
_atom_site_fract_y
_atom_site_fract_z
Y1 0.0000 0.0000 0.1290
Sc1 0.0000 0.0000 0.5000
Mn1 0.0000 0.5000 0.2500
```

M_tot (μB per formula unit): 0.00
ΔH_f (0 K) (eV per atom): 0.36
Total energy (eV/cell): -71.62

=====

Density functional theory data (PBE) for a relaxed Sc2ZnTe crystal.

Structure (CIF):
```
data_Sc2ZnTe
_symmetry_space_group_name_H-M 'R -3 m'
_symmetry_Int_Tables_number 166
_symmetry_space_group_name_Hall '-R 3 2"'
_cell_length_a 3.8361
_cell_length_b 3.8361
_cell_length_c 26.1888
_cell_angle_alpha 90.00
_cell_angle_beta 90.00
_cell_angle_gamma 120.00
loop_
_atom_site_label
_atom_site_fract_x
_atom_site_fract_y
_atom_site_fract_z
Sc1 0.0000 0.0000 0.1046
Zn1 0.0000 0.0000 0.5000
Te1 0.0000 0.0000 0.0000
```

Formation energy from raw total energies (eV/atom): -0.07
M_tot (μB per formula unit): 0.00
Total energy (eV/cell): -52.12

=====

Density functional theory data (PBE) for a relaxed La8TlOs3I4 crystal.

Structure (CIF):
```
data_La8TlOs3I4
_symmetry_space_group_name_H-M 'R -3 m'
_symmetry_Int_Tables_number 166
_symmetry_space_group_name_Hall '-R 3 2"'
_cell_length_a 8.7166
_cell_length_b 8.7166
_cell_length_c 24.5688
_cell_angle_alpha 90.00
_cell_angle_beta 90.00
_cell_angle_gamma 120.00
loop_
_atom_site_label
_atom_site_fract_x
_atom_site_fract_y
_atom_site_fract_z
La1 0.0000 0.0000 0.2304
La2 0.0294 0.5147 0.7715
Tl1 0.0000 0.0000 0.5000
Os1 0.0000 0.5000 0.5000
I1 0.0000 0.0000 0.0000
I2 0.0000 0.5000 0.0000
```

Formation energy from raw total energies (eV/atom): -0.71
M_tot (μB per formula unit): 0.00
Total energy (eV/cell): -279.14

=====

Density functional theory data (PBE) for a relaxed PrGe2IrPd crystal.

Structure (CIF):
```
data_PrGe2IrPd
_symmetry_space_group_name_H-M 'I -4 m 2'
_symmetry_Int_Tables_number 119
_symmetry_space_group_name_Hall 'I -4 -2'
_cell_length_a 4.2725
_cell_length_b 4.2725
_cell_length_c 10.4522
_cell_angle_alpha 90.00
_cell_angle_beta 90.00
_cell_angle_gamma 90.00
loop_
_atom_site_label
_atom_site_fract_x
_atom_site_fract_y
_atom_site_fract_z
Pr1 0.0000 0.0000 0.0000
Ge1 0.0000 0.0000 0.3768
Ir1 0.0000 0.5000 0.7500
Pd1 0.0000 0.5000 0.2500
```

M_tot (μB per formula unit): 0.00
ΔH_f (0 K) (eV per atom): -0.74
Total energy (eV/cell): -63.50

=====

Density functional theory data (PBE) for a relaxed CaSmEr2Hg4 crystal.

Structure (CIF):
```
data_CaSmEr2Hg4
_symmetry_space_group_name_H-M 'R -3 m'
_symmetry_Int_Tables_number 166
_symmetry_space_group_name_Hall '-R 3 2"'
_cell_length_a 5.2750
_cell_length_b 5.2750
_cell_length_c 25.9183
_cell_angle_alpha 90.00
_cell_angle_beta 90.00
_cell_angle_gamma 120.00
loop_
_atom_site_label
_atom_site_fract_x
_atom_site_fract_y
_atom_site_fract_z
Ca1 0.0000 0.0000 0.0000
Sm1 0.0000 0.0000 0.5000
Er1 0.0000 0.0000 0.2518
Hg1 0.0000 0.0000 0.1249
Hg2 0.0000 0.0000 0.3753
```

M_tot (μB per formula unit): 0.00
ΔH_f (0 K) (eV per atom): -0.50
Total energy (eV/cell): -63.11

=====

Density functional theory data (PBE) for a relaxed CeB2C2 crystal.

Structure (CIF):
```
data_CeB2C2
_symmetry_space_group_name_H-M 'P 4/m b m'
_symmetry_Int_Tables_number 127
_symmetry_space_group_name_Hall '-P 4 2ab'
_cell_length_a 5.3759
_cell_length_b 5.3759
_cell_length_c 3.7627
_cell_angle_alpha 90.00
_cell_angle_beta 90.00
_cell_angle_gamma 90.00
loop_
_atom_site_label
_atom_site_fract_x
_atom_site_fract_y
_atom_site_fract_z
Ce1 0.0000 0.0000 0.0000
B1 0.1368 0.3632 0.5000
C1 0.1618 0.6618 0.5000
```

M_tot (μB per formula unit): 0.65
ΔH_f (0 K) (eV per atom): -0.43
Total energy (eV/cell): -79.75

=====

Density functional theory data (PBE) for a relaxed Mn4InPb crystal.

Structure (CIF):
```
data_Mn4InPb
_symmetry_space_group_name_H-M 'F -4 3 m'
_symmetry_Int_Tables_number 216
_symmetry_space_group_name_Hall 'F -4 2 3'
_cell_length_a 7.3381
_cell_length_b 7.3381
_cell_length_c 7.3381
_cell_angle_alpha 90.00
_cell_angle_beta 90.00
_cell_angle_gamma 90.00
loop_
_atom_site_label
_atom_site_fract_x
_atom_site_fract_y
_atom_site_fract_z
Mn1 0.1243 0.1243 0.1243
In1 0.2500 0.2500 0.7500
Pb1 0.0000 0.0000 0.5000
```

M_tot (μB per formula unit): 10.57
ΔH_f (0 K) (eV per atom): 0.46
Total energy (eV/cell): -161.42

=====

Density functional theory data (PBE) for a relaxed Sr2TiMn crystal.

Structure (CIF):
```
data_Sr2TiMn
_symmetry_space_group_name_H-M 'I -4 2 d'
_symmetry_Int_Tables_number 122
_symmetry_space_group_name_Hall 'I -4 2bw'
_cell_length_a 11.9478
_cell_length_b 11.9478
_cell_length_c 4.3276
_cell_angle_alpha 90.00
_cell_angle_beta 90.00
_cell_angle_gamma 90.00
loop_
_atom_site_label
_atom_site_fract_x
_atom_site_fract_y
_atom_site_fract_z
Sr1 0.0744 0.2500 0.1250
Ti1 0.0000 0.0000 0.5000
Mn1 0.0000 0.0000 0.0000
```

M_tot (μB per formula unit): 0.83
ΔH_f (0 K) (eV per atom): 0.67
Total energy (eV/cell): -70.93

=====

Density functional theory data (PBE) for a relaxed PmAl3NiOs crystal.

Structure (CIF):
```
data_PmAl3NiOs
_symmetry_space_group_name_H-M 'C m c m'
_symmetry_Int_Tables_number 63
_symmetry_space_group_name_Hall '-C 2c 2'
_cell_length_a 7.6144
_cell_length_b 10.6071
_cell_length_c 5.7267
_cell_angle_alpha 90.00
_cell_angle_beta 90.00
_cell_angle_gamma 90.00
loop_
_atom_site_label
_atom_site_fract_x
_atom_site_fract_y
_atom_site_fract_z
Pm1 0.0000 0.2158 0.2500
Al1 0.0000 0.3062 0.7500
Al2 0.2476 0.0000 0.0000
Ni1 0.0000 0.4798 0.2500
Os1 0.0000 0.0791 0.7500
```

M_tot (μB per formula unit): 0.00
ΔH_f (0 K) (eV per atom): -0.28
Total energy (eV/cell): -138.64

=====

Density functional theory data (PBE) for a relaxed BaGaBi2Ru crystal.

Structure (CIF):
```
data_BaGaBi2Ru
_symmetry_space_group_name_H-M 'P 4/m m m'
_symmetry_Int_Tables_number 123
_symmetry_space_group_name_Hall '-P 4 2'
_cell_length_a 5.3230
_cell_length_b 5.3230
_cell_length_c 5.8039
_cell_angle_alpha 90.00
_cell_angle_beta 90.00
_cell_angle_gamma 90.00
loop_
_atom_site_label
_atom_site_fract_x
_atom_site_fract_y
_atom_site_fract_z
Ba1 0.0000 0.0000 0.0000
Ga1 0.5000 0.5000 0.0000
Bi1 0.0000 0.5000 0.5000
Ru1 0.0000 0.0000 0.5000
```

M_tot (μB per formula unit): 0.00
ΔH_f (0 K) (eV per atom): 0.17
Total energy (eV/cell): -21.13

=====

Density functional theory data (PBE) for a relaxed NaRh2N crystal.

Structure (CIF):
```
data_NaRh2N
_symmetry_space_group_name_H-M 'I -4 2 d'
_symmetry_Int_Tables_number 122
_symmetry_space_group_name_Hall 'I -4 2bw'
_cell_length_a 6.6615
_cell_length_b 6.6615
_cell_length_c 5.8344
_cell_angle_alpha 90.00
_cell_angle_beta 90.00
_cell_angle_gamma 90.00
loop_
_atom_site_label
_atom_site_fract_x
_atom_site_fract_y
_atom_site_fract_z
Na1 0.0000 0.0000 0.0000
Rh1 0.0970 0.2500 0.6250
N1 0.0000 0.0000 0.5000
```

Formation energy from raw total energies (eV/atom): 0.13
M_tot (μB per formula unit): 0.00
Total energy (eV/cell): -95.28

=====

Density functional theory data (PBE) for a relaxed LaCuPt2C crystal.

Structure (CIF):
```
data_LaCuPt2C
_symmetry_space_group_name_H-M 'P 4/m m m'
_symmetry_Int_Tables_number 123
_symmetry_space_group_name_Hall '-P 4 2'
_cell_length_a 4.9372
_cell_length_b 4.9372
_cell_length_c 3.6726
_cell_angle_alpha 90.00
_cell_angle_beta 90.00
_cell_angle_gamma 90.00
loop_
_atom_site_label
_atom_site_fract_x
_atom_site_fract_y
_atom_site_fract_z
La1 0.0000 0.0000 0.0000
Cu1 0.5000 0.5000 0.5000
Pt1 0.0000 0.5000 0.5000
C1 0.5000 0.5000 0.0000
```

M_tot (μB per formula unit): 0.00
ΔH_f (0 K) (eV per atom): 0.29
Total energy (eV/cell): -28.89

=====

Q: total energy of number 1 (Y2ScMn2)?
A: -71.62 eV/cell

=====

Q: Which formula does entry 8 have?
A: Sr2TiMn

=====

Copy entry 1 word for word.
Density functional theory data (PBE) for a relaxed Y2ScMn2 crystal.

Structure (CIF):
```
data_Y2ScMn2
_symmetry_space_group_name_H-M 'I 4/m m m'
_symmetry_Int_Tables_number 139
_symmetry_space_group_name_Hall '-I 4 2'
_cell_length_a 3.2466
_cell_length_b 3.2466
_cell_length_c 20.7800
_cell_angle_alpha 90.00
_cell_angle_beta 90.00
_cell_angle_gamma 90.00
loop_
_atom_site_label
_atom_site_fract_x
_atom_site_fract_y
_atom_site_fract_z
Y1 0.0000 0.0000 0.1290
Sc1 0.0000 0.0000 0.5000
Mn1 0.0000 0.5000 0.2500
```

M_tot (μB per formula unit): 0.00
ΔH_f (0 K) (eV per atom): 0.36
Total energy (eV/cell): -71.62

=====

Please write out number 6 again, unchanged.
Density functional theory data (PBE) for a relaxed CeB2C2 crystal.

Structure (CIF):
```
data_CeB2C2
_symmetry_space_group_name_H-M 'P 4/m b m'
_symmetry_Int_Tables_number 127
_symmetry_space_group_name_Hall '-P 4 2ab'
_cell_length_a 5.3759
_cell_length_b 5.3759
_cell_length_c 3.7627
_cell_angle_alpha 90.00
_cell_angle_beta 90.00
_cell_angle_gamma 90.00
loop_
_atom_site_label
_atom_site_fract_x
_atom_site_fract_y
_atom_site_fract_z
Ce1 0.0000 0.0000 0.0000
B1 0.1368 0.3632 0.5000
C1 0.1618 0.6618 0.5000
```

M_tot (μB per formula unit): 0.65
ΔH_f (0 K) (eV per atom): -0.43
Total energy (eV/cell): -79.75